[1]
VASP calculation (PBE-GGA) on Hg2As3Br after structural relaxation.

As for the space group: C2/c, No. 15.

Lattice parameters (Å, degrees): 6.2938 6.2938 8.2164 96.40 96.40 97.75
Closest atoms and distances in Å follow each position.
Element x y z (fractional)
Hg 0.0912 0.3554 0.1553  2 As 2.59-2.62
Hg 0.3554 0.0912 0.6553  2 As 2.59-2.62
Hg 0.6446 0.9088 0.3447  2 As 2.59-2.62
Hg 0.9088 0.6446 0.8447  2 As 2.59-2.62
As 0.2939 0.7061 0.7500  2 As 2.48, 2 Hg 2.62
As 0.3104 0.4320 0.5128  2 As 2.47-2.48, 1 Hg 2.59
As 0.4320 0.3104 0.0128  2 As 2.47-2.48, 1 Hg 2.59
As 0.5680 0.6896 0.9872  2 As 2.47-2.48, 1 Hg 2.59
As 0.6896 0.5680 0.4872  2 As 2.47-2.48, 1 Hg 2.59
As 0.7061 0.2939 0.2500  2 As 2.48, 2 Hg 2.62
Br 0.1361 0.8639 0.2500  6 Hg 3.17-3.52
Br 0.8639 0.1361 0.7500  6 Hg 3.17-3.52



[2]
VASP calculation (PBE-GGA) on Hg19As10Br18 after structural relaxation.

As for the space group: P-1, No. 2.

Lattice parameters (Å, degrees): 11.4214 11.4905 12.4742 106.01 105.79 109.08
Closest atoms and distances in Å follow each position.
Element x y z (fractional)
Hg 0.0000 0.0000 0.0000  2 As 2.59
Hg 0.0698 0.7415 0.1815  1 As 2.56, 2 Br 2.67-2.84
Hg 0.0744 0.4223 0.2843  2 As 2.56-2.57
Hg 0.1260 0.1265 0.4072  1 As 2.53, 1 Br 2.56
Hg 0.2067 0.8016 0.5890  2 As 2.55-2.58
Hg 0.3055 0.5020 0.7781  1 As 2.52, 1 Br 2.57
Hg 0.3055 0.1904 0.8950  2 As 2.56
Hg 0.3258 0.8844 0.0044  1 As 2.55, 1 Br 2.62
Hg 0.3663 0.6062 0.1758  2 As 2.55-2.57
Hg 0.4864 0.7039 0.5751  1 As 2.53, 1 Br 2.56
Hg 0.5136 0.2961 0.4249  1 As 2.53, 1 Br 2.56
Hg 0.6337 0.3938 0.8242  2 As 2.55-2.57
Hg 0.6742 0.1156 0.9956  1 As 2.55, 1 Br 2.62
Hg 0.6945 0.8096 0.1050  2 As 2.56
Hg 0.6945 0.4980 0.2219  1 As 2.52, 1 Br 2.57
Hg 0.7933 0.1984 0.4110  2 As 2.55-2.58
Hg 0.8740 0.8735 0.5928  1 As 2.53, 1 Br 2.56
Hg 0.9256 0.5777 0.7157  2 As 2.56-2.57
Hg 0.9302 0.2585 0.8185  1 As 2.56, 2 Br 2.67-2.84
As 0.0413 0.7981 0.6947  1 As 2.43, 3 Hg 2.53-2.58
As 0.1661 0.9689 0.9014  1 As 2.43, 3 Hg 2.55-2.59
As 0.2187 0.6492 0.2887  1 As 2.47, 3 Hg 2.55-2.56
As 0.3747 0.8342 0.4886  1 As 2.47, 2 Hg 2.53-2.55
As 0.4483 0.4154 0.8959  1 As 2.44, 3 Hg 2.52-2.57
As 0.5517 0.5846 0.1041  1 As 2.44, 3 Hg 2.52-2.57
As 0.6253 0.1658 0.5114  1 As 2.47, 2 Hg 2.53-2.55
As 0.7813 0.3508 0.7113  1 As 2.47, 3 Hg 2.55-2.56
As 0.8339 0.0311 0.0986  1 As 2.43, 3 Hg 2.55-2.59
As 0.9587 0.2019 0.3053  1 As 2.43, 3 Hg 2.53-2.58
Br 0.0389 0.1587 0.6543  2 Hg 2.84-2.94
Br 0.1201 0.2994 0.0236  1 Hg 2.67
Br 0.1419 0.4891 0.5821  1 Hg 2.57
Br 0.1660 0.5948 0.9314  4 Hg 2.95-3.21
Br 0.2233 0.0176 0.2261  3 Hg 2.88-3.15
Br 0.3394 0.1786 0.5838  1 Hg 2.56
Br 0.3821 0.4110 0.3305  1 Hg 2.56
Br 0.4661 0.7875 0.8631  2 Hg 2.89-2.92
Br 0.4990 0.0877 0.7934  1 Hg 2.62
Br 0.5010 0.9123 0.2066  1 Hg 2.62
Br 0.5339 0.2125 0.1369  2 Hg 2.89-2.92
Br 0.6179 0.5890 0.6695  1 Hg 2.56
Br 0.6606 0.8214 0.4162  1 Hg 2.56
Br 0.7767 0.9824 0.7739  3 Hg 2.88-3.15
Br 0.8340 0.4052 0.0686  4 Hg 2.95-3.21
Br 0.8581 0.5109 0.4179  1 Hg 2.57
Br 0.8799 0.7006 0.9764  1 Hg 2.67
Br 0.9611 0.8413 0.3457  2 Hg 2.84-2.94



[3]
VASP calculation (PBE-GGA) on Hg3AsBrO4 after structural relaxation.

As for the space group: P2_13, No. 198.

Lattice parameters (Å, degrees): 8.5472 8.5472 8.5472 90.00 90.00 90.00
Closest atoms and distances in Å follow each position.
Element x y z (fractional)
Hg 0.0525 0.3971 0.3546  2 O 2.26-2.38
Hg 0.1029 0.6454 0.5525  2 O 2.26-2.38
Hg 0.1454 0.9475 0.8971  2 O 2.26-2.38
Hg 0.3546 0.0525 0.3971  2 O 2.26-2.38
Hg 0.3971 0.3546 0.0525  2 O 2.26-2.38
Hg 0.4475 0.6029 0.8546  2 O 2.26-2.38
Hg 0.5525 0.1029 0.6454  2 O 2.26-2.38
Hg 0.6029 0.8546 0.4475  2 O 2.26-2.38
Hg 0.6454 0.5525 0.1029  2 O 2.26-2.38
Hg 0.8546 0.4475 0.6029  2 O 2.26-2.38
Hg 0.8971 0.1454 0.9475  2 O 2.26-2.38
Hg 0.9475 0.8971 0.1454  2 O 2.26-2.38
As 0.0181 0.5181 0.9819  4 O 1.70-1.74
As 0.4819 0.4819 0.4819  4 O 1.70-1.74
As 0.5181 0.9819 0.0181  4 O 1.70-1.74
As 0.9819 0.0181 0.5181  4 O 1.70-1.74
Br 0.2425 0.7575 0.2575  3 Hg 2.95
Br 0.2575 0.2425 0.7575  3 Hg 2.95
Br 0.7425 0.7425 0.7425  3 Hg 2.95
Br 0.7575 0.2575 0.2425  3 Hg 2.95
O 0.1000 0.1245 0.3903  1 As 1.74
O 0.1097 0.9000 0.6245  1 As 1.74
O 0.1245 0.3903 0.1000  1 As 1.74
O 0.1331 0.6331 0.8669  1 As 1.70
O 0.3669 0.3669 0.3669  1 As 1.70
O 0.3755 0.6097 0.6000  1 As 1.74
O 0.3903 0.1000 0.1245  1 As 1.74
O 0.4000 0.8755 0.8903  1 As 1.74
O 0.6000 0.3755 0.6097  1 As 1.74
O 0.6097 0.6000 0.3755  1 As 1.74
O 0.6245 0.1097 0.9000  1 As 1.74
O 0.6331 0.8669 0.1331  1 As 1.70
O 0.8669 0.1331 0.6331  1 As 1.70
O 0.8755 0.8903 0.4000  1 As 1.74
O 0.8903 0.4000 0.8755  1 As 1.74
O 0.9000 0.6245 0.1097  1 As 1.74



[4]
VASP calculation (PBE-GGA) on SnHg6As4Br6 after structural relaxation.

As for the space group: P2_13, No. 198.

Lattice parameters (Å, degrees): 12.6864 12.6864 12.6864 90.00 90.00 90.00
Closest atoms and distances in Å follow each position.
Element x y z (fractional)
Sn 0.2299 0.2299 0.2299  3 Br 2.84
Sn 0.2701 0.7701 0.7299  3 Br 2.84
Sn 0.7299 0.2701 0.7701  3 Br 2.84
Sn 0.7701 0.7299 0.2701  3 Br 2.84
Hg 0.0193 0.2371 0.5278  2 As 2.59
Hg 0.0273 0.7344 0.4642  2 As 2.59
Hg 0.0278 0.4807 0.7629  2 As 2.59
Hg 0.0358 0.9727 0.2344  2 As 2.59
Hg 0.2344 0.0358 0.9727  2 As 2.59
Hg 0.2371 0.5278 0.0193  2 As 2.59
Hg 0.2629 0.4722 0.5193  2 As 2.59
Hg 0.2656 0.9642 0.4727  2 As 2.59
Hg 0.4642 0.0273 0.7344  2 As 2.59
Hg 0.4722 0.5193 0.2629  2 As 2.59
Hg 0.4727 0.2656 0.9642  2 As 2.59
Hg 0.4807 0.7629 0.0278  2 As 2.59
Hg 0.5193 0.2629 0.4722  2 As 2.59
Hg 0.5273 0.7656 0.5358  2 As 2.59
Hg 0.5278 0.0193 0.2371  2 As 2.59
Hg 0.5358 0.5273 0.7656  2 As 2.59
Hg 0.7344 0.4642 0.0273  2 As 2.59
Hg 0.7371 0.9722 0.9807  2 As 2.59
Hg 0.7629 0.0278 0.4807  2 As 2.59
Hg 0.7656 0.5358 0.5273  2 As 2.59
Hg 0.9642 0.4727 0.2656  2 As 2.59
Hg 0.9722 0.9807 0.7371  2 As 2.59
Hg 0.9727 0.2344 0.0358  2 As 2.59
Hg 0.9807 0.7371 0.9722  2 As 2.59
As 0.0424 0.0424 0.0424  1 As 2.45, 3 Hg 2.59
As 0.0432 0.5432 0.9568  1 As 2.45, 3 Hg 2.59
As 0.0681 0.9319 0.4319  1 As 2.45, 3 Hg 2.59
As 0.0693 0.4307 0.5693  1 As 2.45, 3 Hg 2.59
As 0.4307 0.5693 0.0693  1 As 2.45, 3 Hg 2.59
As 0.4319 0.0681 0.9319  1 As 2.45, 3 Hg 2.59
As 0.4568 0.4568 0.4568  1 As 2.45, 3 Hg 2.59
As 0.4576 0.9576 0.5424  1 As 2.45, 3 Hg 2.59
As 0.5424 0.4576 0.9576  1 As 2.45, 3 Hg 2.59
As 0.5432 0.9568 0.0432  1 As 2.45, 3 Hg 2.59
As 0.5681 0.5681 0.5681  1 As 2.45, 3 Hg 2.59
As 0.5693 0.0693 0.4307  1 As 2.45, 3 Hg 2.59
As 0.9307 0.9307 0.9307  1 As 2.45, 3 Hg 2.59
As 0.9319 0.4319 0.0681  1 As 2.45, 3 Hg 2.59
As 0.9568 0.0432 0.5432  1 As 2.45, 3 Hg 2.59
As 0.9576 0.5424 0.4576  1 As 2.45, 3 Hg 2.59
Br 0.0193 0.7303 0.2045  3 Hg 2.99-3.30, 1 Sn 3.27
Br 0.0497 0.7377 0.7084  1 Sn 2.84, 1 Hg 3.11
Br 0.2045 0.0193 0.7303  3 Hg 2.99-3.30, 1 Sn 3.27
Br 0.2084 0.4503 0.2623  1 Sn 2.84, 1 Hg 3.11
Br 0.2303 0.2955 0.9807  3 Hg 2.99-3.30, 1 Sn 3.27
Br 0.2377 0.7916 0.9503  1 Sn 2.84, 1 Hg 3.11
Br 0.2623 0.2084 0.4503  1 Sn 2.84, 1 Hg 3.11
Br 0.2697 0.7045 0.4807  3 Hg 2.99-3.30, 1 Sn 3.27
Br 0.2916 0.5497 0.7623  1 Sn 2.84, 1 Hg 3.11
Br 0.2955 0.9807 0.2303  3 Hg 2.99-3.30, 1 Sn 3.27
Br 0.4503 0.2623 0.2084  1 Sn 2.84, 1 Hg 3.11
Br 0.4807 0.2697 0.7045  3 Hg 2.99-3.30, 1 Sn 3.27
Br 0.5193 0.7697 0.7955  3 Hg 2.99-3.30, 1 Sn 3.27
Br 0.5497 0.7623 0.2916  1 Sn 2.84, 1 Hg 3.11
Br 0.7045 0.4807 0.2697  3 Hg 2.99-3.30, 1 Sn 3.27
Br 0.7084 0.0497 0.7377  1 Sn 2.84, 1 Hg 3.11
Br 0.7303 0.2045 0.0193  3 Hg 2.99-3.30, 1 Sn 3.27
Br 0.7377 0.7084 0.0497  1 Sn 2.84, 1 Hg 3.11
Br 0.7623 0.2916 0.5497  1 Sn 2.84, 1 Hg 3.11
Br 0.7697 0.7955 0.5193  3 Hg 2.99-3.30, 1 Sn 3.27
Br 0.7916 0.9503 0.2377  1 Sn 2.84, 1 Hg 3.11
Br 0.7955 0.5193 0.7697  3 Hg 2.99-3.30, 1 Sn 3.27
Br 0.9503 0.2377 0.7916  1 Sn 2.84, 1 Hg 3.11
Br 0.9807 0.2303 0.2955  3 Hg 2.99-3.30, 1 Sn 3.27



[5]
VASP calculation (PBE-GGA) on Tl2HgAsBr6 after structural relaxation.

As for the space group: Fm-3m, No. 225.

Lattice parameters (Å, degrees): 7.8092 7.8092 7.8092 60.00 60.00 60.00
Closest atoms and distances in Å follow each position.
Element x y z (fractional)
Tl 0.2500 0.2500 0.2500  12 Br 3.91
Tl 0.7500 0.7500 0.7500  12 Br 3.91
Hg 0.0000 0.0000 0.0000  6 Br 2.87
As 0.5000 0.5000 0.5000  6 Br 2.66
Br 0.2595 0.2595 0.7405  1 As 2.66, 1 Hg 2.87
Br 0.2595 0.7405 0.2595  1 As 2.66, 1 Hg 2.87
Br 0.2595 0.7405 0.7405  1 As 2.66, 1 Hg 2.87
Br 0.7405 0.2595 0.2595  1 As 2.66, 1 Hg 2.87
Br 0.7405 0.2595 0.7405  1 As 2.66, 1 Hg 2.87
Br 0.7405 0.7405 0.2595  1 As 2.66, 1 Hg 2.87



[6]
VASP calculation (PBE-GGA) on Ho2AsIBr after structural relaxation.

As for the space group: P3m1, No. 156.

Lattice parameters (Å, degrees): 4.1003 4.1003 10.7270 90.00 90.00 120.00
Closest atoms and distances in Å follow each position.
Element x y z (fractional)
Ho 0.0000 0.0000 0.0000  3 As 2.82, 3 Br 2.95
Ho 0.3333 0.6667 0.2880  3 As 2.83, 3 I 3.12
As 0.6667 0.3333 0.1435  6 Ho 2.82-2.83
I 0.0000 0.0000 0.4768  3 Ho 3.12
Br 0.3333 0.6667 0.8354  3 Ho 2.95



[7]
VASP calculation (PBE-GGA) on YHoAsBr2 after structural relaxation.

As for the space group: P3m1, No. 156.

Lattice parameters (Å, degrees): 4.0526 4.0526 9.9116 90.00 90.00 120.00
Closest atoms and distances in Å follow each position.
Element x y z (fractional)
Y 0.0000 0.0000 0.0000  3 As 2.83, 3 Br 2.95
Ho 0.6667 0.3333 0.6823  3 As 2.81, 3 Br 2.94
As 0.3333 0.6667 0.8394  3 Ho 2.81, 3 Y 2.83
Br 0.0000 0.0000 0.5031  3 Ho 2.94
Br 0.6667 0.3333 0.1815  3 Y 2.95



[8]
VASP calculation (PBE-GGA) on Pr2AsIBr after structural relaxation.

As for the space group: P3m1, No. 156.

Lattice parameters (Å, degrees): 4.3059 4.3059 10.7205 90.00 90.00 120.00
Closest atoms and distances in Å follow each position.
Element x y z (fractional)
Pr 0.0000 0.0000 0.0000  3 As 2.98, 3 Br 3.08
Pr 0.3333 0.6667 0.6927  3 As 2.99, 3 I 3.25
As 0.6667 0.3333 0.8468  6 Pr 2.98-2.99
I 0.0000 0.0000 0.4968  3 Pr 3.25
Br 0.3333 0.6667 0.1696  3 Pr 3.08



[9]
VASP calculation (PBE-GGA) on Sm2AsIBr after structural relaxation.

As for the space group: P3m1, No. 156.

Lattice parameters (Å, degrees): 4.2053 4.2053 10.7452 90.00 90.00 120.00
Closest atoms and distances in Å follow each position.
Element x y z (fractional)
Sm 0.0000 0.0000 0.0000  3 As 2.91, 3 I 3.19
Sm 0.3333 0.6667 0.7009  3 As 2.91, 3 Br 3.02
As 0.6667 0.3333 0.8500  6 Sm 2.91
I 0.3333 0.6667 0.1926  3 Sm 3.19
Br 0.0000 0.0000 0.5331  3 Sm 3.02



[10]
VASP calculation (PBE-GGA) on Tm2AsIBr after structural relaxation.

As for the space group: P3m1, No. 156.

Lattice parameters (Å, degrees): 4.0643 4.0643 10.9312 90.00 90.00 120.00
Closest atoms and distances in Å follow each position.
Element x y z (fractional)
Tm 0.0000 0.0000 0.0000  3 As 2.79, 3 Br 2.93
Tm 0.3333 0.6667 0.7218  3 As 2.80, 3 I 3.09
As 0.6667 0.3333 0.8613  6 Tm 2.79-2.80
I 0.0000 0.0000 0.5383  3 Tm 3.09
Br 0.3333 0.6667 0.1603  3 Tm 2.93



[11]
VASP calculation (PBE-GGA) on Zr2AsIBr after structural relaxation.

As for the space group: P3m1, No. 156.

Lattice parameters (Å, degrees): 3.9817 3.9817 10.2117 90.00 90.00 120.00
Closest atoms and distances in Å follow each position.
Element x y z (fractional)
Zr 0.0000 0.0000 0.0000  3 As 2.65
Zr 0.3333 0.6667 0.2567  3 As 2.64, 3 Br 2.91
As 0.6667 0.3333 0.1287  6 Zr 2.64-2.65
I 0.3333 0.6667 0.8035  3 Zr 3.05
Br 0.0000 0.0000 0.4322  3 Zr 2.91



[12]
VASP calculation (PBE-GGA) on AsIrBr6 after structural relaxation.

As for the space group: F-43m, No. 216.

Lattice parameters (Å, degrees): 6.9297 6.9297 6.9297 60.00 60.00 60.00
Closest atoms and distances in Å follow each position.
Element x y z (fractional)
As 0.0000 0.0000 0.0000  12 Br 3.46
Ir 0.2500 0.2500 0.2500  6 Br 2.44
Br 0.0010 0.0010 0.4990  1 Ir 2.44
Br 0.0010 0.4990 0.0010  1 Ir 2.44
Br 0.0010 0.4990 0.4990  1 Ir 2.44
Br 0.4990 0.0010 0.0010  1 Ir 2.44
Br 0.4990 0.0010 0.4990  1 Ir 2.44
Br 0.4990 0.4990 0.0010  1 Ir 2.44



no.,DFT total energy (eV per formula unit)
1,-17.0
2,-96.1
3,-33.0
4,-40.3
5,-24.9
6,-24.9
7,-27.5
8,-25.5
9,-25.3
10,-24.5
11,-30.5
12,-22.5